No. 1
# TeRhWCl2 (meta-GGA SCAN, PBEsol geometry)
# - SG = P4/mmm
# - raw formation energy (eV/atom) = 0.50
data_TeRhWCl2
_cell_length_a 4.4806
_cell_length_b 4.4806
_cell_length_c 5.1561
_cell_angle_alpha 90.00
_cell_angle_beta 90.00
_cell_angle_gamma 90.00
_symmetry_space_group_name_H-M 'P 1'
_symmetry_Int_Tables_number 1
loop_
_symmetry_equiv_pos_as_xyz
'x,y,z'
loop_
_atom_site_label
_atom_site_fract_x
_atom_site_fract_y
_atom_site_fract_z
_atom_site_occupancy
Te1 0.0000 0.0000 0.0000 1
Rh1 0.5000 0.5000 0.0000 1
W1 0.5000 0.5000 0.5000 1
Cl1 0.0000 0.5000 0.5000 1
Cl2 0.5000 0.0000 0.5000 1

***

No. 2
# Rh2WCl (meta-GGA SCAN, PBEsol geometry)
# - SG = R3m
# - raw formation energy (eV/atom) = 0.27
data_Rh2WCl
_cell_length_a 8.5474
_cell_length_b 8.5474
_cell_length_c 8.5474
_cell_angle_alpha 18.93
_cell_angle_beta 18.93
_cell_angle_gamma 18.93
_symmetry_space_group_name_H-M 'P 1'
_symmetry_Int_Tables_number 1
loop_
_symmetry_equiv_pos_as_xyz
'x,y,z'
loop_
_atom_site_label
_atom_site_fract_x
_atom_site_fract_y
_atom_site_fract_z
_atom_site_occupancy
Rh1 0.0000 0.0000 0.0000 1
Rh2 0.2468 0.2468 0.2468 1
W1 0.7504 0.7504 0.7504 1
Cl1 0.4936 0.4936 0.4936 1

***

No. 3
# YRhCl2 (meta-GGA SCAN, PBEsol geometry)
# - SG = Cm
# - raw formation energy (eV/atom) = -1.25
# - excess energy over the best structure of this formula in the dataset (eV/f.u.) = 0.00
data_YRhCl2
_cell_length_a 5.2919
_cell_length_b 5.2919
_cell_length_c 5.1600
_cell_angle_alpha 98.28
_cell_angle_beta 98.28
_cell_angle_gamma 38.46
_symmetry_space_group_name_H-M 'P 1'
_symmetry_Int_Tables_number 1
loop_
_symmetry_equiv_pos_as_xyz
'x,y,z'
loop_
_atom_site_label
_atom_site_fract_x
_atom_site_fract_y
_atom_site_fract_z
_atom_site_occupancy
Y1 0.0000 0.0000 0.0000 1
Rh1 0.6477 0.6477 0.2812 1
Cl1 0.2799 0.2799 0.0052 1
Cl2 0.5010 0.5010 0.5813 1

***

No. 4
# YRhCl2 (meta-GGA SCAN, PBEsol geometry)
# - SG = Fmmm
# - raw formation energy (eV/atom) = -1.02
# - excess energy over the best structure of this formula in the dataset (eV/f.u.) = 0.94
data_YRhCl2
_cell_length_a 5.2461
_cell_length_b 5.1808
_cell_length_c 4.3048
_cell_angle_alpha 66.41
_cell_angle_beta 64.83
_cell_angle_gamma 48.76
_symmetry_space_group_name_H-M 'P 1'
_symmetry_Int_Tables_number 1
loop_
_symmetry_equiv_pos_as_xyz
'x,y,z'
loop_
_atom_site_label
_atom_site_fract_x
_atom_site_fract_y
_atom_site_fract_z
_atom_site_occupancy
Y1 0.0000 0.0000 0.0000 1
Rh1 0.5000 0.5000 0.5000 1
Cl1 0.0000 0.5000 0.5000 1
Cl2 0.5000 0.0000 0.0000 1

***

No. 5
# YRh2Cl (meta-GGA SCAN, PBEsol geometry)
# - SG = Pmmm
# - raw formation energy (eV/atom) = -0.33
# - excess energy over the best structure of this formula in the dataset (eV/f.u.) = 0.88
data_YRh2Cl
_cell_length_a 3.1624
_cell_length_b 4.1962
_cell_length_c 5.2240
_cell_angle_alpha 90.00
_cell_angle_beta 90.00
_cell_angle_gamma 90.00
_symmetry_space_group_name_H-M 'P 1'
_symmetry_Int_Tables_number 1
loop_
_symmetry_equiv_pos_as_xyz
'x,y,z'
loop_
_atom_site_label
_atom_site_fract_x
_atom_site_fract_y
_atom_site_fract_z
_atom_site_occupancy
Y1 0.0000 0.0000 0.0000 1
Rh1 0.5000 0.5000 0.2540 1
Rh2 0.5000 0.5000 0.7460 1
Cl1 0.0000 0.0000 0.5000 1

***

No. 6
# YRhCl2 (meta-GGA SCAN, PBEsol geometry)
# - SG = Cmmm
# - raw formation energy (eV/atom) = -0.98
# - excess energy over the best structure of this formula in the dataset (eV/f.u.) = 1.11
data_YRhCl2
_cell_length_a 4.3517
_cell_length_b 4.3517
_cell_length_c 4.1484
_cell_angle_alpha 90.00
_cell_angle_beta 90.00
_cell_angle_gamma 93.70
_symmetry_space_group_name_H-M 'P 1'
_symmetry_Int_Tables_number 1
loop_
_symmetry_equiv_pos_as_xyz
'x,y,z'
loop_
_atom_site_label
_atom_site_fract_x
_atom_site_fract_y
_atom_site_fract_z
_atom_site_occupancy
Y1 0.0000 0.0000 0.0000 1
Rh1 0.5000 0.5000 0.0000 1
Cl1 0.2699 0.7301 0.5000 1
Cl2 0.7301 0.2699 0.5000 1

***

No. 7
# YRh2Cl (meta-GGA SCAN, PBEsol geometry)
# - SG = C2/m
# - raw formation energy (eV/atom) = -0.55
# - excess energy over the best structure of this formula in the dataset (eV/f.u.) = 0.00
data_YRh2Cl
_cell_length_a 5.1821
_cell_length_b 5.1821
_cell_length_c 4.3761
_cell_angle_alpha 92.94
_cell_angle_beta 92.94
_cell_angle_gamma 35.46
_symmetry_space_group_name_H-M 'P 1'
_symmetry_Int_Tables_number 1
loop_
_symmetry_equiv_pos_as_xyz
'x,y,z'
loop_
_atom_site_label
_atom_site_fract_x
_atom_site_fract_y
_atom_site_fract_z
_atom_site_occupancy
Y1 0.0000 0.0000 0.0000 1
Rh1 0.2760 0.2760 0.7651 1
Rh2 0.7240 0.7240 0.2349 1
Cl1 0.5000 0.5000 0.5000 1

***

No. 8
# Zn2RhCl (meta-GGA SCAN, PBEsol geometry)
# - SG = P4/mmm
# - raw formation energy (eV/atom) = -0.33
# - excess energy over the best structure of this formula in the dataset (eV/f.u.) = 0.41
data_Zn2RhCl
_cell_length_a 3.0223
_cell_length_b 3.0223
_cell_length_c 6.7704
_cell_angle_alpha 90.00
_cell_angle_beta 90.00
_cell_angle_gamma 90.00
_symmetry_space_group_name_H-M 'P 1'
_symmetry_Int_Tables_number 1
loop_
_symmetry_equiv_pos_as_xyz
'x,y,z'
loop_
_atom_site_label
_atom_site_fract_x
_atom_site_fract_y
_atom_site_fract_z
_atom_site_occupancy
Zn1 0.0000 0.0000 0.2113 1
Zn2 0.0000 0.0000 0.7887 1
Rh1 0.5000 0.5000 0.0000 1
Cl1 0.5000 0.5000 0.5000 1

***

No. 9
# ZnRh2Cl (meta-GGA SCAN, PBEsol geometry)
# - SG = Cmm2
# - raw formation energy (eV/atom) = 0.18
# - excess energy over the best structure of this formula in the dataset (eV/f.u.) = 0.00
data_ZnRh2Cl
_cell_length_a 2.8574
_cell_length_b 2.8574
_cell_length_c 8.2890
_cell_angle_alpha 90.00
_cell_angle_beta 90.00
_cell_angle_gamma 120.45
_symmetry_space_group_name_H-M 'P 1'
_symmetry_Int_Tables_number 1
loop_
_symmetry_equiv_pos_as_xyz
'x,y,z'
loop_
_atom_site_label
_atom_site_fract_x
_atom_site_fract_y
_atom_site_fract_z
_atom_site_occupancy
Zn1 0.0000 0.0000 0.0000 1
Rh1 0.0000 0.0000 0.4946 1
Rh2 0.5000 0.5000 0.7530 1
Cl1 0.5000 0.5000 0.2470 1

***

No. 10
# ZnRh2Cl (meta-GGA SCAN, PBEsol geometry)
# - SG = F-43m
# - raw formation energy (eV/atom) = 0.46
# - excess energy over the best structure of this formula in the dataset (eV/f.u.) = 1.13
data_ZnRh2Cl
_cell_length_a 4.3679
_cell_length_b 4.3679
_cell_length_c 4.3679
_cell_angle_alpha 60.00
_cell_angle_beta 60.00
_cell_angle_gamma 60.00
_symmetry_space_group_name_H-M 'P 1'
_symmetry_Int_Tables_number 1
loop_
_symmetry_equiv_pos_as_xyz
'x,y,z'
loop_
_atom_site_label
_atom_site_fract_x
_atom_site_fract_y
_atom_site_fract_z
_atom_site_occupancy
Zn1 0.0000 0.0000 0.0000 1
Rh1 0.5000 0.5000 0.5000 1
Rh2 0.7500 0.7500 0.7500 1
Cl1 0.2500 0.2500 0.2500 1

***

No. 11
# ZnRh2Cl (meta-GGA SCAN, PBEsol geometry)
# - SG = I4/mmm
# - raw formation energy (eV/atom) = 0.43
# - excess energy over the best structure of this formula in the dataset (eV/f.u.) = 1.01
data_ZnRh2Cl
_cell_length_a 4.2907
_cell_length_b 4.2907
_cell_length_c 4.2907
_cell_angle_alpha 120.23
_cell_angle_beta 120.23
_cell_angle_gamma 89.60
_symmetry_space_group_name_H-M 'P 1'
_symmetry_Int_Tables_number 1
loop_
_symmetry_equiv_pos_as_xyz
'x,y,z'
loop_
_atom_site_label
_atom_site_fract_x
_atom_site_fract_y
_atom_site_fract_z
_atom_site_occupancy
Zn1 0.0000 0.0000 0.0000 1
Rh1 0.2500 0.7500 0.5000 1
Rh2 0.7500 0.2500 0.5000 1
Cl1 0.5000 0.5000 0.0000 1

***

No. 12
# Zn2RhCl (meta-GGA SCAN, PBEsol geometry)
# - SG = Imm2
# - raw formation energy (eV/atom) = -0.21
# - excess energy over the best structure of this formula in the dataset (eV/f.u.) = 0.89
data_Zn2RhCl
_cell_length_a 6.2299
_cell_length_b 6.2299
_cell_length_c 6.2299
_cell_angle_alpha 152.41
_cell_angle_beta 142.63
_cell_angle_gamma 47.08
_symmetry_space_group_name_H-M 'P 1'
_symmetry_Int_Tables_number 1
loop_
_symmetry_equiv_pos_as_xyz
'x,y,z'
loop_
_atom_site_label
_atom_site_fract_x
_atom_site_fract_y
_atom_site_fract_z
_atom_site_occupancy
Zn1 0.0000 0.0000 0.0000 1
Zn2 0.6521 0.1521 0.5000 1
Rh1 0.1765 0.6765 0.5000 1
Cl1 0.3679 0.3679 0.0000 1

***

No. 13
# ZnRhCl2 (meta-GGA SCAN, PBEsol geometry)
# - SG = R-3m
# - raw formation energy (eV/atom) = -0.06
data_ZnRhCl2
_cell_length_a 8.8415
_cell_length_b 8.8415
_cell_length_c 8.8415
_cell_angle_alpha 22.27
_cell_angle_beta 22.27
_cell_angle_gamma 22.27
_symmetry_space_group_name_H-M 'P 1'
_symmetry_Int_Tables_number 1
loop_
_symmetry_equiv_pos_as_xyz
'x,y,z'
loop_
_atom_site_label
_atom_site_fract_x
_atom_site_fract_y
_atom_site_fract_z
_atom_site_occupancy
Zn1 0.0000 0.0000 0.0000 1
Rh1 0.5000 0.5000 0.5000 1
Cl1 0.1126 0.1126 0.1126 1
Cl2 0.8874 0.8874 0.8874 1

***

No. 14
# Zn2RhCl (meta-GGA SCAN, PBEsol geometry)
# - SG = Pmmm
# - raw formation energy (eV/atom) = -0.43
# - excess energy over the best structure of this formula in the dataset (eV/f.u.) = 0.00
data_Zn2RhCl
_cell_length_a 3.0255
_cell_length_b 3.0397
_cell_length_c 6.9238
_cell_angle_alpha 90.00
_cell_angle_beta 90.00
_cell_angle_gamma 90.00
_symmetry_space_group_name_H-M 'P 1'
_symmetry_Int_Tables_number 1
loop_
_symmetry_equiv_pos_as_xyz
'x,y,z'
loop_
_atom_site_label
_atom_site_fract_x
_atom_site_fract_y
_atom_site_fract_z
_atom_site_occupancy
Zn1 0.0000 0.0000 0.2070 1
Zn2 0.0000 0.0000 0.7930 1
Rh1 0.5000 0.5000 0.0000 1
Cl1 0.5000 0.0000 0.5000 1

***

No. 15
# ZrRhCl2 (meta-GGA SCAN, PBEsol geometry)
# - SG = R-3m
# - raw formation energy (eV/atom) = -0.70
# - excess energy over the best structure of this formula in the dataset (eV/f.u.) = 1.04
data_ZrRhCl2
_cell_length_a 8.3806
_cell_length_b 8.3806
_cell_length_c 8.3806
_cell_angle_alpha 21.55
_cell_angle_beta 21.55
_cell_angle_gamma 21.55
_symmetry_space_group_name_H-M 'P 1'
_symmetry_Int_Tables_number 1
loop_
_symmetry_equiv_pos_as_xyz
'x,y,z'
loop_
_atom_site_label
_atom_site_fract_x
_atom_site_fract_y
_atom_site_fract_z
_atom_site_occupancy
Zr1 0.0000 0.0000 0.0000 1
Rh1 0.5000 0.5000 0.5000 1
Cl1 0.4079 0.4079 0.4079 1
Cl2 0.5921 0.5921 0.5921 1

***

No. 16
# ZrRhCl (meta-GGA SCAN, PBEsol geometry)
# - SG = P3m1
# - raw formation energy (eV/atom) = -0.96
data_ZrRhCl
_cell_length_a 3.4530
_cell_length_b 3.4530
_cell_length_c 5.9029
_cell_angle_alpha 90.00
_cell_angle_beta 90.00
_cell_angle_gamma 120.00
_symmetry_space_group_name_H-M 'P 1'
_symmetry_Int_Tables_number 1
loop_
_symmetry_equiv_pos_as_xyz
'x,y,z'
loop_
_atom_site_label
_atom_site_fract_x
_atom_site_fract_y
_atom_site_fract_z
_atom_site_occupancy
Zr1 0.0000 0.0000 0.0000 1
Rh1 0.6667 0.3333 0.2580 1
Cl1 0.3333 0.6667 0.6805 1

***

No. 17
# ZrRhCl2 (meta-GGA SCAN, PBEsol geometry)
# - SG = P4mm
# - raw formation energy (eV/atom) = -0.96
# - excess energy over the best structure of this formula in the dataset (eV/f.u.) = 0.00
data_ZrRhCl2
_cell_length_a 3.3715
_cell_length_b 3.3715
_cell_length_c 7.0540
_cell_angle_alpha 90.00
_cell_angle_beta 90.00
_cell_angle_gamma 90.00
_symmetry_space_group_name_H-M 'P 1'
_symmetry_Int_Tables_number 1
loop_
_symmetry_equiv_pos_as_xyz
'x,y,z'
loop_
_atom_site_label
_atom_site_fract_x
_atom_site_fract_y
_atom_site_fract_z
_atom_site_occupancy
Zr1 0.0000 0.0000 0.0000 1
Rh1 0.5000 0.5000 0.8363 1
Cl1 0.0000 0.0000 0.6405 1
Cl2 0.5000 0.5000 0.2471 1

***

No. 18
# ZrRhCl2 (meta-GGA SCAN, PBEsol geometry)
# - SG = P4/mmm
# - raw formation energy (eV/atom) = -0.33
# - excess energy over the best structure of this formula in the dataset (eV/f.u.) = 2.52
data_ZrRhCl2
_cell_length_a 4.1568
_cell_length_b 4.1568
_cell_length_c 3.6634
_cell_angle_alpha 90.00
_cell_angle_beta 90.00
_cell_angle_gamma 90.00
_symmetry_space_group_name_H-M 'P 1'
_symmetry_Int_Tables_number 1
loop_
_symmetry_equiv_pos_as_xyz
'x,y,z'
loop_
_atom_site_label
_atom_site_fract_x
_atom_site_fract_y
_atom_site_fract_z
_atom_site_occupancy
Zr1 0.0000 0.0000 0.0000 1
Rh1 0.5000 0.5000 0.0000 1
Cl1 0.0000 0.5000 0.5000 1
Cl2 0.5000 0.0000 0.5000 1

***

No. 19
# Ru3Cl4 (meta-GGA SCAN, PBEsol geometry)
# - SG = P6/mmm
# - raw formation energy (eV/atom) = 0.82
data_Ru3Cl4
_cell_length_a 5.3826
_cell_length_b 5.3826
_cell_length_c 4.7750
_cell_angle_alpha 90.00
_cell_angle_beta 90.00
_cell_angle_gamma 120.00
_symmetry_space_group_name_H-M 'P 1'
_symmetry_Int_Tables_number 1
loop_
_symmetry_equiv_pos_as_xyz
'x,y,z'
loop_
_atom_site_label
_atom_site_fract_x
_atom_site_fract_y
_atom_site_fract_z
_atom_site_occupancy
Ru1 0.0000 0.5000 0.0000 1
Ru2 0.5000 0.0000 0.0000 1
Ru3 0.5000 0.5000 0.0000 1
Cl1 0.0000 0.0000 0.2526 1
Cl2 0.0000 0.0000 0.7474 1
Cl3 0.3333 0.6667 0.5000 1
Cl4 0.6667 0.3333 0.5000 1

***

No. 20
# RuCl2 (meta-GGA SCAN, PBEsol geometry)
# - SG = P4/mmm
# - raw formation energy (eV/atom) = 0.27
data_RuCl2
_cell_length_a 4.2245
_cell_length_b 4.2245
_cell_length_c 2.8869
_cell_angle_alpha 90.00
_cell_angle_beta 90.00
_cell_angle_gamma 90.00
_symmetry_space_group_name_H-M 'P 1'
_symmetry_Int_Tables_number 1
loop_
_symmetry_equiv_pos_as_xyz
'x,y,z'
loop_
_atom_site_label
_atom_site_fract_x
_atom_site_fract_y
_atom_site_fract_z
_atom_site_occupancy
Ru1 0.0000 0.0000 0.0000 1
Cl1 0.0000 0.5000 0.5000 1
Cl2 0.5000 0.0000 0.5000 1